1.
First-principles (meta-GGA SCAN) data for a crystal of KZn2Au relaxed with PBEsol, as listed in Alexandria.

For the calculated volume, the calculation gives 81.70 Å³ per cell. The total moment comes out at 0.00 μB/f.u. The calculation puts the formation enthalpy at 0 K at 0.199 eV per atom. Its space-group type is No. 12.

a = 6.2084 Å, b = 6.2084 Å, c = 2.7000 Å
α = 101.56°, β = 101.56°, γ = 120.81°
With the nearest neighbours (Å) after each atom.
Atoms (fractional coordinates):
K 0.0000 0.0000 0.0000  2 K 2.70
Zn 0.0000 0.5000 0.5000  2 Zn 2.70
Zn 0.5000 0.0000 0.5000  2 Zn 2.70
Au 0.5000 0.5000 0.0000  2 Au 2.70

***

2.
First-principles (meta-GGA SCAN) data for a crystal of KZn2Au2 relaxed with PBEsol, as listed in Alexandria.

For the calculated volume, the calculation gives 106.56 Å³ per cell. The total moment comes out at 0.00 μB/f.u. The calculation puts the formation enthalpy at 0 K at -0.313 eV per atom. Its space-group type is No. 139.

a = 6.3307 Å, b = 6.3307 Å, c = 6.3307 Å
α = 139.37°, β = 139.37°, γ = 58.81°
With the nearest neighbours (Å) after each atom.
Atoms (fractional coordinates):
K 0.0000 0.0000 0.0000  8 Au 3.40, 8 Zn 3.53
Zn 0.2500 0.7500 0.5000  4 Au 2.60
Zn 0.7500 0.2500 0.5000  4 Au 2.60
Au 0.3760 0.3760 0.0000  4 Zn 2.60, 1 Au 2.74
Au 0.6240 0.6240 0.0000  4 Zn 2.60, 1 Au 2.74

***

3.
First-principles (meta-GGA SCAN) data for a crystal of KZn2Au relaxed with PBEsol, as listed in Alexandria.

For the calculated volume, the calculation gives 102.63 Å³ per cell. The total moment comes out at 0.00 μB/f.u. The calculation puts the formation enthalpy at 0 K at -0.314 eV per atom. Its space-group type is No. 8.

a = 4.4476 Å, b = 4.4476 Å, c = 6.5150 Å
α = 110.07°, β = 110.07°, γ = 60.16°
With the nearest neighbours (Å) after each atom.
Atoms (fractional coordinates):
K 0.0000 0.0000 0.0000  1 Zn 3.16, 1 Au 3.23
Zn 0.5097 0.5097 0.5285  3 Au 2.56-2.57, 3 Zn 2.59
Zn 0.8242 0.8242 0.4708  3 Zn 2.59, 3 Au 2.60-2.61
Au 0.1802 0.1802 0.5392  6 Zn 2.56-2.61

***

- Which value of calculated volume does entry 2 give?
  106.56 Å³ per cell

***

What did the third record say?
First-principles (meta-GGA SCAN) data for a crystal of KZn2Au relaxed with PBEsol, as listed in Alexandria.

For the calculated volume, the calculation gives 102.63 Å³ per cell. The total moment comes out at 0.00 μB/f.u. The calculation puts the formation enthalpy at 0 K at -0.314 eV per atom. Its space-group type is No. 8.

a = 4.4476 Å, b = 4.4476 Å, c = 6.5150 Å
α = 110.07°, β = 110.07°, γ = 60.16°
With the nearest neighbours (Å) after each atom.
Atoms (fractional coordinates):
K 0.0000 0.0000 0.0000  1 Zn 3.16, 1 Au 3.23
Zn 0.5097 0.5097 0.5285  3 Au 2.56-2.57, 3 Zn 2.59
Zn 0.8242 0.8242 0.4708  3 Zn 2.59, 3 Au 2.60-2.61
Au 0.1802 0.1802 0.5392  6 Zn 2.56-2.61

***

What did the first record say?
First-principles (meta-GGA SCAN) data for a crystal of KZn2Au relaxed with PBEsol, as listed in Alexandria.

For the calculated volume, the calculation gives 81.70 Å³ per cell. The total moment comes out at 0.00 μB/f.u. The calculation puts the formation enthalpy at 0 K at 0.199 eV per atom. Its space-group type is No. 12.

a = 6.2084 Å, b = 6.2084 Å, c = 2.7000 Å
α = 101.56°, β = 101.56°, γ = 120.81°
With the nearest neighbours (Å) after each atom.
Atoms (fractional coordinates):
K 0.0000 0.0000 0.0000  2 K 2.70
Zn 0.0000 0.5000 0.5000  2 Zn 2.70
Zn 0.5000 0.0000 0.5000  2 Zn 2.70
Au 0.5000 0.5000 0.0000  2 Au 2.70